Here is Ca2Mg2Te after structural relaxation from Alexandria via LeMat-Bulk. Energies are from PBE.

Cell: 8.214 8.214 5.046 Å, 90.00 90.00 90.00°
Fractional positions:
Ca  0.333  0.833  0.000
Ca  0.833  0.667  0.000
Ca  0.667  0.167  0.000
Ca  0.167  0.333  0.000
Te  0.000  0.000  0.000
Te  0.500  0.500  0.000
Mg  0.136  0.636  0.500
Mg  0.636  0.864  0.500
Mg  0.864  0.364  0.500
Mg  0.364  0.136  0.500

## Properties
**DOS at the Fermi energy**: 0.712 states/eV per atom
**Distance to the lowest polymorph of the same formula**: 3.60 kcal/mol of atoms
**Formation energy (no corrections)**: -0.304 eV/atom
**Final energy**: -23.71 eV per cell

***

Here is AsSeF3 after structural relaxation from Alexandria via LeMat-Bulk. Energies are from PBE.

Cell: 4.293 4.293 4.293 Å, 90.00 90.00 90.00°
Site moments in Bohr magnetons follow the coordinates.
Fractional positions:
As  0.000  0.000  0.000  -0.06
Se  0.500  0.500  0.500  1.19
F  0.000  0.500  0.000  0.05
F  0.000  0.000  0.500  0.07
F  0.500  0.000  0.000  0.07

## Properties
**DOS at the Fermi energy**: 0.417 states/eV per atom
**Distance to the lowest polymorph of the same formula**: 0.00 kcal/mol of atoms
**Formation energy (no corrections)**: -0.911 eV/atom
**Final energy**: -18.30 eV per cell

***

Here is NdSb3 after structural relaxation from Alexandria via LeMat-Bulk. Energies are from PBE.

Cell: 4.506 4.476 11.818 Å, 100.92 90.00 90.00°
Fractional positions:
Nd  0.250  0.572  0.145
Nd  0.750  0.428  0.855
Sb  0.250  0.182  0.364
Sb  0.750  0.818  0.636
Sb  0.750  0.052  0.104
Sb  0.250  0.948  0.896
Sb  0.750  0.682  0.364
Sb  0.250  0.318  0.636

## Properties
**DOS at the Fermi energy**: 0.618 states/eV per atom
**Distance to the lowest polymorph of the same formula**: 0.00 kcal/mol of atoms
**Formation energy (no corrections)**: -0.511 eV/atom
**Final energy**: -38.36 eV per cell

***

Here is LaHf3Ru after structural relaxation from Alexandria via LeMat-Bulk. Energies are from PBE.

Cell: 5.022 5.022 5.022 Å, 90.00 90.00 90.00°
Fractional positions:
Ru  0.500  0.500  0.500
Hf  0.000  0.500  0.000
Hf  0.000  0.000  0.500
Hf  0.500  0.000  0.000
La  0.000  0.000  0.000

## Properties
**DOS at the Fermi energy**: 2.082 states/eV per atom
**Distance to the lowest polymorph of the same formula**: 42.83 kcal/mol of atoms
**Calculated formation energy**: 1942 meV/atom
**Final energy**: -34.35 eV per cell

***

Here is Sr2In9Ag6 after structural relaxation from Alexandria via LeMat-Bulk. Energies are from PBE.

Cell: 6.136 6.136 13.974 Å, 90.00 90.00 120.00°
Fractional positions:
Sr  0.000  0.000  0.664
Sr  0.000  0.000  0.336
In  0.500  0.000  0.836
In  0.000  0.500  0.836
In  0.500  0.500  0.836
In  0.500  0.000  0.164
In  0.000  0.500  0.164
In  0.500  0.500  0.164
In  0.500  0.000  0.500
In  0.000  0.500  0.500
In  0.500  0.500  0.500
Ag  0.333  0.667  0.000
Ag  0.667  0.333  0.000
Ag  0.333  0.667  0.668
Ag  0.667  0.333  0.668
Ag  0.667  0.333  0.332
Ag  0.333  0.667  0.332

## Properties
**DOS at the Fermi energy**: 0.422 states/eV per atom
**Calculated formation energy**: -86 meV/atom
**Final energy**: -46.58 eV per cell

***

Here is AgSnN2F after structural relaxation from Alexandria via LeMat-Bulk. Energies are from PBE.

Cell: 4.179 4.179 4.223 Å, 90.00 90.00 90.00°
Site moments in Bohr magnetons follow the coordinates.
Fractional positions:
N  0.000  0.500  0.000  0.68
N  0.500  0.000  0.000  0.68
Sn  0.000  0.000  0.000  -0.04
Ag  0.500  0.500  0.500  0.10
F  0.000  0.000  0.500  0.00

## Properties
**DOS at the Fermi energy**: 0.384 states/eV per atom
**Distance to the lowest polymorph of the same formula**: 0.00 kcal/mol of atoms
**Formation energy (no corrections)**: 0.531 eV/atom
**Final energy**: -22.72 eV per cell

***

Here is SiHgIr2 after structural relaxation from Alexandria via LeMat-Bulk. Energies are from PBE.

Cell: 8.915 8.915 8.915 Å, 18.83 18.83 18.83°
Site moments in Bohr magnetons follow the coordinates.
Fractional positions:
Hg  0.751  0.751  0.751  0.00
Ir  0.995  0.995  0.995  0.41
Ir  0.243  0.243  0.243  0.05
Si  0.510  0.510  0.510  0.00

## Properties
**DOS at the Fermi energy**: 1.034 states/eV per atom
**Distance to the lowest polymorph of the same formula**: 10.37 kcal/mol of atoms
**Formation energy (no corrections)**: 0.259 eV/atom
**Final energy**: -22.41 eV per cell

***

Here is HfC after structural relaxation from Alexandria via LeMat-Bulk. Energies are from PBE.

Cell: 3.282 10.129 6.184 Å, 90.00 90.00 90.00°
Fractional positions:
Hf  0.000  0.287  0.860
Hf  0.000  0.713  0.860
Hf  0.000  0.787  0.360
Hf  0.000  0.213  0.360
Hf  0.500  0.000  0.628
Hf  0.500  0.500  0.128
C  0.500  0.776  0.622
C  0.500  0.224  0.622
C  0.500  0.276  0.122
C  0.500  0.724  0.122
C  0.000  0.000  0.412
C  0.000  0.500  0.912

## Properties
**DOS at the Fermi energy**: 0.114 states/eV per atom
**Distance to the lowest polymorph of the same formula**: 17.30 kcal/mol of atoms
**Calculated formation energy**: -193 meV/atom
**Final energy**: -117.38 eV per cell

***

Number 1: total magnetization 0.00 Bohr magnetons per cell. Number 2: total magnetization 2.00 Bohr magnetons per cell. Number 3: total magnetization 0.00 Bohr magnetons per cell. Number 4: total magnetization 0.00 Bohr magnetons per cell. Number 5: total magnetization 0.00 Bohr magnetons per cell. Number 6: total magnetization 1.98 Bohr magnetons per cell. Number 7: total magnetization 0.46 Bohr magnetons per cell. Number 8: total magnetization 0.00 Bohr magnetons per cell.